# In2SeCl, optimized geometry, DFT GGA-PBE
# Crystal system: trigonal
# N(E_F), states/eV/f.u.: 0.89
# Magnetization, μB/f.u.: 0.00
# Offset from the most stable computed form, meV/atom: 0
# E_form (uncorrected), eV per atom: -0.5596
data_In2SeCl
_cell_length_a 4.0359
_cell_length_b 4.0359
_cell_length_c 25.9884
_cell_angle_alpha 90.00
_cell_angle_beta 90.00
_cell_angle_gamma 120.00
_space_group_name_H-M_alt 'R 3 m'
_space_group_IT_number 160
_space_group_name_Hall 'R 3 -2"'
loop_
_atom_site_label
_atom_site_type_symbol
_atom_site_fract_x
_atom_site_fract_y
_atom_site_fract_z
In1 In 0.0000 0.0000 0.0000
In2 In 0.0000 0.0000 0.2454
Se1 Se 0.0000 0.0000 0.7179
Cl1 Cl 0.0000 0.0000 0.5170

# Hf2NbC, optimized geometry, DFT GGA-PBE
# Crystal system: tetragonal
# N(E_F), states/eV/f.u.: 4.34
# Total energy, eV/atom: -9.696
# Magnetization, μB/f.u.: 0.00
data_Hf2NbC
_cell_length_a 8.109
_cell_length_b 8.109
_cell_length_c 4.401
_cell_angle_alpha 90.00
_cell_angle_beta 90.00
_cell_angle_gamma 90.00
_space_group_name_H-M_alt 'I -4 2 d'
_space_group_IT_number 122
_space_group_name_Hall 'I -4 2bw'
loop_
_atom_site_label
_atom_site_type_symbol
_atom_site_fract_x
_atom_site_fract_y
_atom_site_fract_z
Hf1 Hf 0.118 0.750 0.125
Nb1 Nb 0.000 0.000 0.500
C1 C 0.000 0.000 0.000